An optimized crystal structure of NaSmYGa. Source: the Alexandria database, functional GGA-PBE.

abc: 7.475 7.475 7.475
angles: 90.00 90.00 90.00
Space group F-43m (No. 216)
Inequivalent atoms, fractional coordinates:
Na  0.000  0.000  0.000 x4
Sm  0.250  0.250  0.750 x4
Y  0.250  0.250  0.250 x4
Ga  0.000  0.000  0.500 x4

Calculated values
E_tot in eV/atom: -4.029